(1)
The following is a DFT calculation (PBE) of a relaxed structure of NaIn2RuSe.

Its density of states at the Fermi level is 5.56 states/eV/cell. The calculation puts the uncorrected formation energy at 1.1633 eV/atom. As for the crystal system: tetragonal.

Unit cell a=5.3289 b=5.3289 c=4.9112 alpha=90.00 beta=90.00 gamma=90.00
Space group P4/mmm (No. 123)
Unique sites:
Na 0.0000 0.0000 0.0000 (multiplicity 1)
In 0.0000 0.5000 0.0000 (multiplicity 2)
Ru 0.0000 0.0000 0.5000 (multiplicity 1)
Se 0.5000 0.5000 0.5000 (multiplicity 1)

(2)
The following is a DFT calculation (PBE) of a relaxed structure of PmDyErTl.

The calculation puts the excess energy over the best structure of this formula in the dataset at 0.182 eV per atom. Its density of states at the Fermi level is 22.11 states/eV/cell. The value obtained for the formation energy is 0.0 kcal/mol of atoms. As for the crystal system: cubic.

Unit cell a=7.7537 b=7.7537 c=7.7537 alpha=90.00 beta=90.00 gamma=90.00
Space group F-43m (No. 216)
Unique sites:
Pm 0.0000 0.0000 0.0000 (multiplicity 4)
Dy 0.2500 0.2500 0.7500 (multiplicity 4)
Er 0.2500 0.2500 0.2500 (multiplicity 4)
Tl 0.0000 0.0000 0.5000 (multiplicity 4)

(3)
The following is a DFT calculation (PBE) of a relaxed structure of AcCeSmCd.

Its density of states at the Fermi level is 43.75 states/eV/cell. The value obtained for the formation energy is 2.3 kcal/mol of atoms. As for the crystal system: cubic.

Unit cell a=8.0093 b=8.0093 c=8.0093 alpha=90.00 beta=90.00 gamma=90.00
Space group F-43m (No. 216)
Unique sites:
Ac 0.0000 0.0000 0.0000 (multiplicity 4)
Ce 0.2500 0.2500 0.2500 (multiplicity 4)
Sm 0.2500 0.2500 0.7500 (multiplicity 4)
Cd 0.0000 0.0000 0.5000 (multiplicity 4)